[1]
The following is a PBE calculation of crystalline TaTi6Pd12 at its relaxed geometry, from the Alexandria database.

Lattice parameters (Å, degrees): 6.7509 6.7509 6.7509 90.20 90.20 90.20
Closest atoms and distances in Å follow each position.
Fractional coordinates of all 19 atoms:
Ta (0.0000, 0.0000, 0.0000)  6 Pd 2.67, 6 Ti 2.80
Ti (0.1241, 0.7273, 0.2866)  7 Pd 2.63-2.86, 1 Ta 2.80
Ti (0.2727, 0.7134, 0.8759)  7 Pd 2.63-2.86, 1 Ta 2.80
Ti (0.2866, 0.1241, 0.7273)  7 Pd 2.63-2.86, 1 Ta 2.80
Ti (0.7134, 0.8759, 0.2727)  7 Pd 2.63-2.86, 1 Ta 2.80
Ti (0.7273, 0.2866, 0.1241)  7 Pd 2.63-2.86, 1 Ta 2.80
Ti (0.8759, 0.2727, 0.7134)  7 Pd 2.63-2.86, 1 Ta 2.80
Pd (0.0255, 0.1481, 0.3673)  1 Ta 2.67, 4 Ti 2.68-2.97, 4 Pd 2.71-2.87
Pd (0.1481, 0.3673, 0.0255)  1 Ta 2.67, 4 Ti 2.68-2.97, 4 Pd 2.71-2.87
Pd (0.2003, 0.4663, 0.5639)  4 Ti 2.63-2.74, 4 Pd 2.76-2.87
Pd (0.3673, 0.0255, 0.1481)  1 Ta 2.67, 4 Ti 2.68-2.97, 4 Pd 2.71-2.87
Pd (0.4361, 0.7997, 0.5337)  4 Ti 2.63-2.74, 4 Pd 2.76-2.87
Pd (0.4663, 0.5639, 0.2003)  4 Ti 2.63-2.74, 4 Pd 2.76-2.87
Pd (0.5337, 0.4361, 0.7997)  4 Ti 2.63-2.74, 4 Pd 2.76-2.87
Pd (0.5639, 0.2003, 0.4663)  4 Ti 2.63-2.74, 4 Pd 2.76-2.87
Pd (0.6327, 0.9745, 0.8519)  1 Ta 2.67, 4 Ti 2.68-2.97, 4 Pd 2.71-2.87
Pd (0.7997, 0.5337, 0.4361)  4 Ti 2.63-2.74, 4 Pd 2.76-2.87
Pd (0.8519, 0.6327, 0.9745)  1 Ta 2.67, 4 Ti 2.68-2.97, 4 Pd 2.71-2.87
Pd (0.9745, 0.8519, 0.6327)  1 Ta 2.67, 4 Ti 2.68-2.97, 4 Pd 2.71-2.87

Formation enthalpy at 0 K, meV/atom: -401
Space group: R-3, No. 148


[2]
The following is a PBE calculation of crystalline TaTiPd4 at its relaxed geometry, from the Alexandria database.

Lattice parameters (Å, degrees): 5.4099 7.6114 5.3360 90.00 117.11 90.00
Closest atoms and distances in Å follow each position.
Fractional coordinates of all 12 atoms:
Ta (0.0000, 0.0000, 0.0000)  8 Pd 2.69-2.78, 2 Ti 2.80
Ta (0.5000, 0.5000, 0.0000)  8 Pd 2.69-2.78, 2 Ti 2.80
Ti (0.0000, 0.5000, 0.5000)  8 Pd 2.69-2.78, 2 Ta 2.80
Ti (0.5000, 0.0000, 0.5000)  8 Pd 2.69-2.78, 2 Ta 2.80
Pd (0.2503, 0.1848, 0.7496)  2 Ti 2.69-2.78, 2 Ta 2.69-2.78, 7 Pd 2.80-2.88
Pd (0.2497, 0.3152, 0.2504)  2 Ti 2.69-2.78, 2 Ta 2.69-2.78, 7 Pd 2.80-2.88
Pd (0.2497, 0.6848, 0.2504)  2 Ti 2.69-2.78, 2 Ta 2.69-2.78, 7 Pd 2.80-2.88
Pd (0.2503, 0.8152, 0.7496)  2 Ti 2.69-2.78, 2 Ta 2.69-2.78, 7 Pd 2.80-2.88
Pd (0.7497, 0.1848, 0.2504)  2 Ti 2.69-2.78, 2 Ta 2.69-2.78, 7 Pd 2.80-2.88
Pd (0.7503, 0.3152, 0.7496)  2 Ti 2.69-2.78, 2 Ta 2.69-2.78, 7 Pd 2.80-2.88
Pd (0.7503, 0.6848, 0.7496)  2 Ti 2.69-2.78, 2 Ta 2.69-2.78, 7 Pd 2.80-2.88
Pd (0.7497, 0.8152, 0.2504)  2 Ti 2.69-2.78, 2 Ta 2.69-2.78, 7 Pd 2.80-2.88

Energy relative to the lowest polymorph listed for this composition, meV per atom: 201
Formation enthalpy at 0 K, meV/atom: -329
Space group: C2/m, No. 12